The following is a DFT calculation (GGA-PBE) of an optimized crystal structure of K2Sn2Pd.

**ΔE_f**: -22.18 kJ per mole of atoms
**V**: 30.23 A^3/atom

Lattice parameters (Å, degrees): 7.134 7.134 5.939 90.00 90.00 90.00
Atoms (fractional coordinates):
1 K 0.180 0.320 0.000
2 K 0.320 0.820 0.000
3 K 0.680 0.180 0.000
4 K 0.820 0.680 0.000
5 Sn 0.145 0.645 0.500
6 Sn 0.355 0.145 0.500
7 Sn 0.645 0.855 0.500
8 Sn 0.855 0.355 0.500
9 Pd 0.000 0.000 0.500
10 Pd 0.500 0.500 0.500

The following is a DFT calculation (GGA-PBE) of an optimized crystal structure of Pr7Se4S4.

**V**: 25.99 A^3/atom
**Energy relative to the elements, uncorrected**: -175.7 kJ/mol of atoms

Lattice parameters (Å, degrees): 11.082 11.082 11.082 95.84 95.84 142.81
Atoms (fractional coordinates):
1 Pr 0.000 0.274 0.274
2 Pr 0.000 0.726 0.726
3 Pr 0.118 0.500 0.618
4 Pr 0.248 0.248 0.000
5 Pr 0.274 0.000 0.274
6 Pr 0.297 0.297 0.595
7 Pr 0.297 0.703 0.000
8 Pr 0.500 0.118 0.618
9 Pr 0.500 0.882 0.382
10 Pr 0.703 0.297 0.000
11 Pr 0.703 0.703 0.405
12 Pr 0.726 0.000 0.726
13 Pr 0.752 0.752 0.000
14 Pr 0.882 0.500 0.382
15 Se 0.126 0.126 0.251
16 Se 0.126 0.874 0.000
17 Se 0.325 0.500 0.825
18 Se 0.500 0.325 0.825
19 Se 0.500 0.675 0.175
20 Se 0.675 0.500 0.175
21 Se 0.874 0.126 0.000
22 Se 0.874 0.874 0.749
23 S 0.098 0.598 0.197
24 S 0.098 0.902 0.500
25 S 0.402 0.598 0.500
26 S 0.402 0.902 0.803
27 S 0.598 0.098 0.197
28 S 0.598 0.402 0.500
29 S 0.902 0.098 0.500
30 S 0.902 0.402 0.803

The following is a DFT calculation (GGA-PBE) of an optimized crystal structure of TcP2W.

**ΔE_f**: 20.55 kJ per mole of atoms
**V**: 14.08 A^3/atom

Lattice parameters (Å, degrees): 3.866 3.866 7.536 90.00 90.00 90.00
Atoms (fractional coordinates):
1 Tc 0.000 0.000 0.000
2 Tc 0.500 0.500 0.500
3 P 0.000 0.000 0.500
4 P 0.000 0.500 0.250
5 P 0.500 0.000 0.750
6 P 0.500 0.500 0.000
7 W 0.000 0.500 0.750
8 W 0.500 0.000 0.250

The following is a DFT calculation (GGA-PBE) of an optimized crystal structure of Nd4Sm11Tm9.

**ΔE_f**: 6.19 kJ per mole of atoms
**V**: 32.82 A^3/atom

Lattice parameters (Å, degrees): 15.213 15.213 3.696 90.00 90.00 112.94
Atoms (fractional coordinates):
1 Nd 0.054 0.256 0.000
2 Nd 0.256 0.054 0.000
3 Nd 0.744 0.946 0.000
4 Nd 0.946 0.744 0.000
5 Sm 0.093 0.456 0.500
6 Sm 0.134 0.866 0.500
7 Sm 0.211 0.211 0.500
8 Sm 0.341 0.659 0.500
9 Sm 0.456 0.093 0.500
10 Sm 0.500 0.500 0.500
11 Sm 0.544 0.907 0.500
12 Sm 0.659 0.341 0.500
13 Sm 0.789 0.789 0.500
14 Sm 0.866 0.134 0.500
15 Sm 0.907 0.544 0.500
16 Tm 0.000 0.000 0.000
17 Tm 0.134 0.663 0.000
18 Tm 0.289 0.435 0.000
19 Tm 0.337 0.866 0.000
20 Tm 0.435 0.289 0.000
21 Tm 0.565 0.711 0.000
22 Tm 0.663 0.134 0.000
23 Tm 0.711 0.565 0.000
24 Tm 0.866 0.337 0.000